P.
A plane-wave DFT calculation with PBEsol was carried out for an optimized crystal structure of YPtW2.

Cell: 3.2419 3.2419 6.8568 Å, 90.00 90.00 90.00°
Closest atoms and distances in Å follow each position.
Space group P4mm (No. 99)
Unique sites:
Y (0.0000, 0.0000, 0.0000) x1  4 Pt 2.96, 4 W 3.05, 4 Y 3.24
Pt (0.5000, 0.5000, 0.2742) x1  5 W 2.81-2.96, 4 Y 2.96
W (0.0000, 0.0000, 0.5113) x1  4 W 2.65, 4 Pt 2.81
W (0.5000, 0.5000, 0.7058) x1  4 W 2.65, 1 Pt 2.96

Properties
Magnetic moment: 0.0 Bohr magnetons per cell

***

Q.
A plane-wave DFT calculation with PBEsol was carried out for an optimized crystal structure of YPtW2.

Cell: 6.5195 6.5195 6.5195 Å, 90.00 90.00 90.00°
Closest atoms and distances in Å follow each position.
Space group F-43m (No. 216)
Unique sites:
Y (0.0000, 0.0000, 0.0000) x4  4 Pt 2.82, 4 W 2.82
Pt (0.2500, 0.2500, 0.2500) x4  4 W 2.82, 4 Y 2.82
W (0.0000, 0.0000, 0.5000) x4  4 W 2.82, 4 Pt 2.82
W (0.2500, 0.2500, 0.7500) x4  4 W 2.82, 4 Y 2.82

Properties
Magnetic moment: 0.0 Bohr magnetons per cell

***

R.
A plane-wave DFT calculation with PBEsol was carried out for an optimized crystal structure of YPtW2.

Cell: 10.3126 2.9822 4.7629 Å, 90.00 104.76 90.00°
Closest atoms and distances in Å follow each position.
Space group C2/m (No. 12)
Unique sites:
Y (0.0000, 0.0000, 0.0000) x2  4 Pt 2.81, 2 Y 2.98, 6 W 3.02-3.11
Pt (0.0000, 0.5000, 0.5000) x2  4 W 2.80, 4 Y 2.81, 2 Pt 2.98
W (0.2333, 0.0000, 0.7255) x4  6 W 2.71-2.98, 2 Pt 2.80, 1 Y 3.02

Properties
Magnetic moment: 0.0 Bohr magnetons per cell

***

P wins, 106 meV per atom ahead of the next structure.

***

P.
A plane-wave DFT calculation with PBEsol was carried out for an optimized crystal structure of Y2PtW.

Cell: 3.3045 3.5724 6.9515 Å, 90.00 90.00 90.00°
Closest atoms and distances in Å follow each position.
Space group Pmmm (No. 47)
Unique sites:
Y (0.0000, 0.0000, 0.2423) x2  4 Pt 2.96, 4 W 3.02, 2 Y 3.30
Pt (0.5000, 0.5000, 0.0000) x1  8 Y 2.96, 2 Pt 3.30
W (0.5000, 0.5000, 0.5000) x1  8 Y 3.02, 2 W 3.30

Properties
Magnetic moment: 0.0 Bohr magnetons per cell

***

Q.
A plane-wave DFT calculation with PBEsol was carried out for an optimized crystal structure of Y2PtW.

Cell: 3.1837 3.1837 29.3634 Å, 90.00 90.00 120.00°
Closest atoms and distances in Å follow each position.
Space group R3m (No. 160, hexagonal axes)
Unique sites:
Y (0.0000, 0.0000, 0.0000) x3  3 Pt 2.97, 6 Y 3.18
Y (0.0000, 0.0000, 0.2261) x3  3 W 3.01, 6 Y 3.18
Pt (0.0000, 0.0000, 0.7462) x3  3 W 2.66, 3 Y 2.97
W (0.0000, 0.0000, 0.4783) x3  3 Pt 2.66

Properties
Magnetic moment: 0.0 Bohr magnetons per cell

***

P wins, 445 meV per atom ahead of the next structure.